[1]
{"formula": "SmHoAu4", "functional": "PBE-GGA", "state": "optimized geometry", "ef_kj_per_mol_atoms": -80.7, "dos_ef_per_ev_cell": 2.46, "lattice": [[3.769, 0.000, 0.000], [1.875, 4.936, 0.000], [1.879, 2.056, 7.003]], "species": ["Sm", "Ho", "Au", "Au", "Au", "Au"], "fractional_positions": [[0.000, 0.000, 0.000], [0.000, 0.500, 0.500], [0.334, 0.994, 0.338], [0.337, 0.503, 0.824], [0.663, 0.497, 0.176], [0.666, 0.006, 0.662]]}



[2]
{"formula": "RbBa2Na5", "functional": "PBE-GGA", "state": "optimized geometry", "ef_kj_per_mol_atoms": 2.9, "dos_ef_per_ev_cell": 6.51, "lattice": [[-3.149, 3.149, 10.064], [3.149, -3.149, 10.064], [3.149, 3.149, -10.064]], "species": ["Rb", "Ba", "Ba", "Na", "Na", "Na", "Na", "Na"], "fractional_positions": [[0.000, 0.000, 0.000], [0.256, 0.256, 0.000], [0.744, 0.744, 0.000], [0.120, 0.620, 0.500], [0.380, 0.880, 0.500], [0.500, 0.500, 0.000], [0.620, 0.120, 0.500], [0.880, 0.380, 0.500]]}